MoAsPAu2 (PBE, optimized geometry); volume = 23.6 Å³/atom; symmetry = P4/mmm, No. 123; uncorrected energy = -4.48 eV per atom; magnetization = 0.00 Bohr magnetons per cell; calculated density = 8.37 Mg/m³
1.0
5.1300 0.0000 0.0000
0.0000 5.1300 0.0000
0.0000 0.0000 4.4926
Mo As P Au
1 1 1 2
Cartesian
0.0000 0.0000 0.0000
2.5650 2.5650 2.2463
0.0000 0.0000 2.2463
0.0000 2.5650 0.0000
2.5650 0.0000 0.0000

=====

NpTlBi2 (PBE, optimized geometry); volume = 29.9 Å³/atom; symmetry = P4/mmm, No. 123; uncorrected energy = -5.69 eV per atom; magnetization = 4.18 Bohr magnetons per cell; calculated density = 11.93 Mg/m³
1.0
5.9093 0.0000 0.0000
0.0000 5.9093 0.0000
0.0000 0.0000 3.4245
Np Tl Bi
1 1 2
Cartesian
0.0000 0.0000 0.0000
2.9547 2.9547 0.0000
0.0000 2.9547 1.7122
2.9547 0.0000 1.7122